The following is a DFT calculation (PBE) of a relaxed structure of PaTc2Au.

## Properties
**Formation energy from the elements**: -189 meV/atom
**Total DFT energy (no corrections)**: -8.566 eV per atom
**Polymorph energy (0 for the lowest one)**: 0 meV/atom

a b c (Å): 4.3022 4.3022 3.8332
angles (deg): 90.00 90.00 90.00
Space group P4/mmm (No. 123)
Asymmetric unit:
Pa 0.0000 0.0000 0.0000 (multiplicity 1)
Tc 0.0000 0.5000 0.5000 (multiplicity 2)
Au 0.5000 0.5000 0.0000 (multiplicity 1)